TmHfNO: relaxed, GGA-PBE.

The total energy is -65.999 eV/cell. As for the density: 11.305 g/cm³. The calculation puts the energy above the most stable polymorph in this dataset at 840 meV/atom.

The space group is P4/nmm (No. 129, origin choice 2) and the conventional cell measures 3.903, 3.903 and 7.280 Å, with angles of 90.00, 90.00 and 90.00 degrees. The inequivalent atoms are Tm at (0.250, 0.750, 0.000), Hf at (0.250, 0.250, 0.373), N at (0.250, 0.250, 0.816) and O at (0.250, 0.750, 0.500).



TmHfNO: relaxed, GGA-PBE.

The total energy is -145.432 eV/cell. As for the density: 10.929 g/cm³. The calculation puts the energy above the most stable polymorph in this dataset at 0 meV/atom.

The space group is Pbcm (No. 57) and the conventional cell measures 7.693, 6.472 and 4.607 Å, with angles of 90.00, 90.00 and 90.00 degrees. The inequivalent atoms are Tm at (0.121, 0.055, 0.250), Hf at (0.371, 0.596, 0.250), N at (0.395, 0.575, 0.750) and O at (0.151, 0.101, 0.750).



TmHfNO: relaxed, GGA-PBE.

The total energy is -71.017 eV/cell. As for the density: 10.060 g/cm³. The calculation puts the energy above the most stable polymorph in this dataset at 212 meV/atom.

The space group is Pmc2_1 (No. 26) and the conventional cell measures 3.506, 6.113 and 5.814 Å, with angles of 90.00, 90.00 and 90.00 degrees. The inequivalent atoms are Tm at (0.000, 0.175, 0.000), Hf at (0.500, 0.367, 0.454), N at (0.000, 0.179, 0.411) and O at (0.500, 0.294, 0.815).



TmHfNO: relaxed, GGA-PBE.

The total energy is -71.402 eV/cell. As for the density: 9.206 g/cm³. The calculation puts the energy above the most stable polymorph in this dataset at 164 meV/atom.

The space group is P4/nmm (No. 129, origin choice 2) and the conventional cell measures 4.120, 4.120 and 8.020 Å, with angles of 90.00, 90.00 and 90.00 degrees. The inequivalent atoms are Tm at (0.250, 0.250, 0.113), Hf at (0.250, 0.750, 0.500), N at (0.250, 0.250, 0.565) and O at (0.250, 0.750, 0.000).



HfZrNO: relaxed, GGA-PBE.

The total energy is -158.787 eV/cell. As for the density: 9.081 g/cm³. The calculation puts the energy above the most stable polymorph in this dataset at 0 meV/atom.

The space group is Pbcm (No. 57) and the conventional cell measures 7.713, 6.290 and 4.519 Å, with angles of 90.00, 90.00 and 90.00 degrees. The inequivalent atoms are Hf at (0.134, 0.088, 0.250), Zr at (0.388, 0.536, 0.250), N at (0.107, 0.075, 0.750) and O at (0.348, 0.613, 0.750).



HfZrNO: relaxed, GGA-PBE.

The total energy is -75.533 eV/cell. As for the density: 8.073 g/cm³. The calculation puts the energy above the most stable polymorph in this dataset at 483 meV/atom.

The space group is P4/nmm (No. 129, origin choice 2) and the conventional cell measures 4.181, 4.181 and 7.054 Å, with angles of 90.00, 90.00 and 90.00 degrees. The inequivalent atoms are Hf at (0.250, 0.750, 0.000), Zr at (0.250, 0.250, 0.404), N at (0.250, 0.250, 0.947) and O at (0.250, 0.750, 0.500).